Entry from the Alexandria database: crystalline PuHfCl6 at its relaxed geometry (GGA-PBE).

Output
N(E_F) ... 31.69 states/eV/cell
E ... -6.232 eV per atom
Size of the total moment ... 6.0 μB per formula unit

Unit cell a=6.6118 b=12.4182 c=6.5485 alpha=90.00 beta=106.67 gamma=90.00
Last column: nearest neighbours and their distance in Å.
Space group C2/m (No. 12)
Unique sites:
Pu: 0.0000 0.0000 0.0000  6 Cl 2.80-2.81
Hf: 0.0000 0.5000 0.5000  6 Cl 2.47-2.49
Cl: 0.2188 0.3576 0.7282  1 Hf 2.49
Cl: 0.2395 0.5000 0.2716  1 Hf 2.47